No. 1
This record from Alexandria via LeMat-Bulk describes an optimized crystal structure of CsRu3Rh. The functional is PBE.

theoretical density: 7.8 g/cm³
energy: -4.134 eV/atom
polymorph energy (0 for the lowest one): 605 kJ/mol of formula units
D(E_F): 6.16 states/eV/cell
space-group type: Pm-3m, No. 221
spin magnetization: 5.5 μB/cell

Cell: 4.849 4.849 4.849 Å, 90.00 90.00 90.00°
Fractional positions:
Cs 0.000 0.000 0.000
Ru 0.000 0.000 0.500
Ru 0.000 0.500 0.000
Ru 0.500 0.000 0.000
Rh 0.500 0.500 0.500

---

No. 2
This record from Alexandria via LeMat-Bulk describes an optimized crystal structure of CsRuRh. The functional is PBE.

theoretical density: 6.1 g/cm³
energy: -4.973 eV/atom
polymorph energy (0 for the lowest one): 107 kJ/mol of formula units
D(E_F): 13.49 states/eV/cell
space-group type: Pnma, No. 62
spin magnetization: 0.0 μB/cell

Cell: 8.535 4.248 10.140 Å, 90.00 90.00 90.00°
Fractional positions:
Cs 0.003 0.250 0.180
Cs 0.497 0.750 0.680
Cs 0.503 0.250 0.320
Cs 0.997 0.750 0.820
Ru 0.138 0.750 0.445
Ru 0.362 0.250 0.945
Ru 0.638 0.750 0.055
Ru 0.862 0.250 0.555
Rh 0.141 0.250 0.552
Rh 0.359 0.750 0.052
Rh 0.641 0.250 0.948
Rh 0.859 0.750 0.448

---

No. 3
This record from Alexandria via LeMat-Bulk describes an optimized crystal structure of CsRuRh2. The functional is PBE.

theoretical density: 6.2 g/cm³
energy: -5.141 eV/atom
polymorph energy (0 for the lowest one): 0 kJ/mol of formula units
D(E_F): 11.33 states/eV/cell
space-group type: I-42d, No. 122
spin magnetization: 0.0 μB/cell

Cell: 8.662 8.662 8.662 Å, 142.86 142.86 53.54°
Fractional positions:
Cs 0.000 0.000 0.000
Cs 0.750 0.250 0.500
Ru 0.250 0.750 0.500
Ru 0.500 0.500 0.000
Rh 0.335 0.625 0.210
Rh 0.375 0.585 0.710
Rh 0.415 0.125 0.790
Rh 0.875 0.665 0.290

---

No. 4
This record from Alexandria via LeMat-Bulk describes an optimized crystal structure of CsRuRh. The functional is PBE.

theoretical density: 6.1 g/cm³
energy: -5.344 eV/atom
polymorph energy (0 for the lowest one): 0 kJ/mol of formula units
D(E_F): 6.28 states/eV/cell
space-group type: P1, No. 1
spin magnetization: 0.4 μB/cell

Cell: 4.244 4.244 12.095 Å, 79.94 80.05 60.02°
Fractional positions:
Cs 0.000 0.000 0.000
Cs 0.470 0.465 0.607
Ru 0.567 0.568 0.302
Ru 0.900 0.900 0.305
Rh 0.198 0.198 0.411
Rh 0.269 0.270 0.195

---

Number 3 is which compound? CsRuRh2

---

energy of number 2 (CsRuRh)? -4.973 eV/atom